# 1
Entry from the Alexandria database: an optimized crystal structure of CaCu3Sn3 (PBE-GGA).

Structure (POSCAR):
```
CaCu3Sn3
1.0
7.1762 0.0000 0.0000
0.0000 7.1762 0.0000
0.0000 0.0000 7.1762
Ca Cu Sn
2 6 6
Direct
0.0000 0.0000 0.0000
0.5000 0.5000 0.5000
0.0000 0.2500 0.5000
0.0000 0.7500 0.5000
0.2500 0.5000 0.0000
0.5000 0.0000 0.2500
0.5000 0.0000 0.7500
0.7500 0.5000 0.0000
0.0000 0.5000 0.2500
0.0000 0.5000 0.7500
0.2500 0.0000 0.5000
0.5000 0.2500 0.0000
0.5000 0.7500 0.0000
0.7500 0.0000 0.5000
```

ΔE_f	0.153	eV/atom
SG	Pm-3n (223)

***

# 2
Entry from the Alexandria database: an optimized crystal structure of Hg2Ir2RhS6 (PBE-GGA).

Structure (POSCAR):
```
Hg2Ir2RhS6
1.0
3.0922 -5.3145 0.0000
3.0922 5.3145 0.0000
-2.4662 0.0000 7.0156
Hg Ir Rh S
2 2 1 6
Direct
0.1755 0.8245 0.0000
0.8245 0.1755 0.0000
0.3338 0.6662 0.5000
0.6662 0.3338 0.5000
0.0000 0.0000 0.5000
0.0653 0.4067 0.6735
0.2564 0.2564 0.3230
0.4067 0.0653 0.6735
0.5933 0.9347 0.3265
0.7436 0.7436 0.6770
0.9347 0.5933 0.3265
```

E_form (uncorrected)	-0.25	eV per atom
SG	C2/m (12)

***

# 3
Entry from the Alexandria database: an optimized crystal structure of TlAsAu2 (PBE-GGA).

Structure (POSCAR):
```
TlAsAu2
1.0
3.6526 -4.2670 0.0000
3.6526 4.2670 0.0000
-0.0403 0.0000 2.8914
Tl As Au
1 1 2
Direct
0.0000 0.0000 0.0000
0.5000 0.5000 0.0000
0.0000 0.5000 0.0000
0.5000 0.0000 0.0000
```

ΔE_f	0.176	eV/atom
SG	C2/m (12)

***

# 4
Entry from the Alexandria database: an optimized crystal structure of Pa8IrRh5 (PBE-GGA).

Structure (POSCAR):
```
Pa8IrRh5
1.0
-4.2884 4.2884 4.2446
4.2884 -4.2884 4.2446
4.2884 4.2884 -4.2446
Pa Ir Rh
8 1 5
Direct
0.2556 0.5056 0.1300
0.3738 0.1182 0.3668
0.3756 0.1256 0.8700
0.4944 0.6244 0.7500
0.7514 0.0071 0.6332
0.8744 0.7444 0.2500
0.8818 0.2486 0.2556
0.9929 0.6262 0.7444
0.2500 0.7500 0.5000
0.0000 0.0000 0.0000
0.1247 0.2486 0.6263
0.5016 0.8753 0.1239
0.6223 0.4984 0.3737
0.7514 0.3777 0.8761
```

ΔE_f	-0.561	eV/atom
SG	I-4 (82)

***

# 5
Entry from the Alexandria database: an optimized crystal structure of Y2CuTe2S2O14 (PBE-GGA).

Structure (POSCAR):
```
Y2CuTe2S2O14
1.0
5.2188 0.0000 0.0000
0.6424 7.9340 0.0000
2.1864 3.7439 7.0059
Y Cu Te S O
2 1 2 2 14
Direct
0.0654 0.2510 0.0198
0.9346 0.7490 0.9802
0.0000 0.0000 0.5000
0.4922 0.7301 0.6523
0.5078 0.2699 0.3477
0.2627 0.7442 0.2502
0.7373 0.2558 0.7498
0.1554 0.5827 0.2387
0.1553 0.7374 0.4370
0.1740 0.9188 0.0960
0.2511 0.5614 0.8875
0.2549 0.9316 0.6556
0.2675 0.1855 0.2571
0.4426 0.2585 0.7910
0.5574 0.7415 0.2090
0.7325 0.8145 0.7429
0.7451 0.0684 0.3444
0.7489 0.4386 0.1125
0.8260 0.0812 0.9040
0.8447 0.2626 0.5630
0.8446 0.4173 0.7613
```

E_form (uncorrected)	-1.81	eV per atom
SG	P-1 (2)

***

# 6
Entry from the Alexandria database: an optimized crystal structure of Ni6MoAu (PBE-GGA).

Structure (POSCAR):
```
Ni6MoAu
1.0
3.6610 -5.1774 0.0000
3.6610 5.1774 0.0000
0.0000 0.0000 10.4008
Ni Mo Au
24 4 4
Direct
0.0000 0.0000 0.0000
0.0000 0.0000 0.5000
0.1181 0.3723 0.1205
0.1181 0.3723 0.8795
0.1185 0.3639 0.3698
0.1185 0.3639 0.6302
0.2456 0.7544 0.2419
0.2456 0.7544 0.7581
0.3639 0.1185 0.3698
0.3639 0.1185 0.6302
0.3723 0.1181 0.1205
0.3723 0.1181 0.8795
0.5000 0.5000 0.0000
0.5000 0.5000 0.5000
0.6277 0.8819 0.1205
0.6277 0.8819 0.8795
0.6361 0.8815 0.3698
0.6361 0.8815 0.6302
0.7544 0.2456 0.2419
0.7544 0.2456 0.7581
0.8815 0.6361 0.3698
0.8815 0.6361 0.6302
0.8819 0.6277 0.1205
0.8819 0.6277 0.8795
0.0000 0.0000 0.2551
0.0000 0.0000 0.7449
0.2462 0.7538 0.0000
0.7538 0.2462 0.0000
0.2541 0.7459 0.5000
0.5000 0.5000 0.2497
0.5000 0.5000 0.7503
0.7459 0.2541 0.5000
```

ΔE_f	0.000	eV/atom
SG	Cmmm (65)

***

# 7
Entry from the Alexandria database: an optimized crystal structure of ScRu2Pt (PBE-GGA).

Structure (POSCAR):
```
ScRu2Pt
1.0
2.8586 0.0000 0.0000
0.0000 2.8586 0.0000
0.0000 0.0000 7.7123
Sc Ru Pt
1 2 1
Direct
0.0000 0.0000 0.0000
0.0000 0.0000 0.5196
0.5000 0.5000 0.7312
0.5000 0.5000 0.2591
```

ΔE_f	-0.322	eV/atom
SG	P4mm (99)

***

# 8
Entry from the Alexandria database: an optimized crystal structure of Ba2ScRh (PBE-GGA).

Structure (POSCAR):
```
Ba2ScRh
1.0
4.8628 0.0000 0.0000
-0.0025 4.8947 0.0000
-0.0131 -0.0175 5.1409
Ba Sc Rh
2 1 1
Direct
0.0000 0.0000 0.0000
0.0000 0.5000 0.5000
0.5000 0.0000 0.5000
0.5000 0.5000 0.0000
```

ΔE_f	0.355	eV/atom
SG	P-1 (2)

***

# 9
Entry from the Alexandria database: an optimized crystal structure of La2ScSi3Pd4 (PBE-GGA).

Structure (POSCAR):
```
La2ScSi3Pd4
1.0
4.3220 0.0000 0.0000
0.0000 4.3220 0.0000
0.0000 0.0000 10.4341
La Sc Si Pd
2 1 3 4
Direct
0.0000 0.5000 0.2369
0.5000 0.0000 0.7631
0.0000 0.0000 0.5000
0.0000 0.5000 0.8787
0.5000 0.0000 0.1213
0.5000 0.5000 0.5000
0.0000 0.0000 0.0000
0.0000 0.5000 0.6449
0.5000 0.0000 0.3551
0.5000 0.5000 0.0000
```

E_form (uncorrected)	-0.91	eV per atom
SG	P-4m2 (115)

***

# 10
Entry from the Alexandria database: an optimized crystal structure of Cs2RbTe (PBE-GGA).

Structure (POSCAR):
```
Cs2RbTe
1.0
2.8657 1.6545 13.7290
-2.8657 1.6545 13.7290
0.0000 -3.3090 13.7290
Cs Rb Te
2 1 1
Direct
0.1262 0.1262 0.1262
0.8738 0.8738 0.8738
0.0000 0.0000 0.0000
0.5000 0.5000 0.5000
```

E_form (uncorrected)	-0.61	eV per atom
SG	R-3m (166)

***

# 11
Entry from the Alexandria database: an optimized crystal structure of In2GaF (PBE-GGA).

Structure (POSCAR):
```
In2GaF
1.0
0.0000 3.4235 3.4235
3.4235 0.0000 3.4235
3.4235 3.4235 0.0000
In Ga F
2 1 1
Direct
0.2500 0.2500 0.2500
0.7500 0.7500 0.7500
0.0000 0.0000 0.0000
0.5000 0.5000 0.5000
```

E_form (uncorrected)	-0.61	eV per atom
SG	Fm-3m (225)

***

# 12
Entry from the Alexandria database: an optimized crystal structure of BaInRh2 (PBE-GGA).

Structure (POSCAR):
```
BaInRh2
1.0
4.8343 0.0000 0.0000
0.0000 4.8343 0.0000
0.0000 0.0000 3.6389
Ba In Rh
1 1 2
Direct
0.0000 0.0000 0.0000
0.5000 0.5000 0.0000
0.0000 0.5000 0.5000
0.5000 0.0000 0.5000
```

ΔE_f	-0.003	eV/atom
SG	P4/mmm (123)